The following is a DFT calculation (SCAN) of In2OsSe at its PBEsol-relaxed geometry.

The structure in extended XYZ format:
```
4
Lattice="-1.876 1.612 2.321 0.775 -0.269 3.291 4.316 6.745 1.282" Properties=species:S:1:pos:R:3 pbc="T T T"
In 0.838 2.068 1.719
In 2.378 6.021 5.175
Os 1.608 4.044 3.447
Se 0.000 0.000 0.000
```

Computed properties:
ΔE_f (raw) = 0.42 eV per atom
space-group type = No. 166

The following is a DFT calculation (SCAN) of YHf3S at its PBEsol-relaxed geometry.

The structure in extended XYZ format:
```
5
Lattice="4.828 0.000 0.000 0.000 4.828 0.000 0.000 0.000 4.828" Properties=species:S:1:pos:R:3 pbc="T T T"
Y 2.414 2.414 2.414
S 0.000 0.000 0.000
Hf 0.000 2.414 0.000
Hf 0.000 0.000 2.414
Hf 2.414 0.000 0.000
```

Computed properties:
ΔE_f (raw) = -0.49 eV per atom
space-group type = No. 221

The following is a DFT calculation (SCAN) of Sr2LiSi3 at its PBEsol-relaxed geometry.

The structure in extended XYZ format:
```
24
Lattice="8.476 0.000 0.000 4.238 7.365 0.000 4.238 0.000 8.925" Properties=species:S:1:pos:R:3 pbc="T T T"
Li 10.595 1.221 4.463
Li 10.595 6.144 4.463
Li 8.476 2.462 0.000
Li 4.238 4.903 0.000
Si 6.357 6.060 4.463
Si 6.357 1.305 4.463
Si 8.476 4.987 0.000
Si 4.238 2.377 0.000
Si 8.401 4.867 4.513
Si 4.313 2.497 4.513
Si 12.789 4.867 4.413
Si 8.401 2.497 4.413
Si 10.670 6.180 8.875
Si 10.520 1.185 8.875
Si 10.520 6.180 0.050
Si 2.194 1.185 0.050
Sr 6.357 3.682 6.691
Sr 6.357 3.682 2.235
Sr 8.476 0.000 6.697
Sr 4.238 0.000 2.228
Sr 10.595 3.682 6.676
Sr 10.595 3.682 2.249
Sr 4.238 0.000 6.711
Sr 8.476 0.000 2.214
```

Computed properties:
ΔE_f (raw) = -0.48 eV per atom
space-group type = No. 70

The following is a DFT calculation (SCAN) of Tl2HgOs at its PBEsol-relaxed geometry.

The structure in extended XYZ format:
```
4
Lattice="3.194 0.000 0.000 0.000 4.905 0.000 0.000 0.000 5.225" Properties=species:S:1:pos:R:3 pbc="T T T"
Hg 1.597 2.452 0.000
Os 0.000 2.452 2.613
Tl 0.000 0.000 0.000
Tl 1.597 0.000 2.613
```

Computed properties:
formation energy = 983 meV per atom
excess energy over the best structure of this formula in the dataset = 0.222 eV/atom
space-group type = No. 47

The following is a DFT calculation (SCAN) of RbNb2CoSn at its PBEsol-relaxed geometry.

The structure in extended XYZ format:
```
5
Lattice="4.806 0.000 0.000 0.000 4.806 0.000 0.000 0.000 4.873" Properties=species:S:1:pos:R:3 pbc="T T T"
Nb 0.000 2.403 0.000
Nb 2.403 0.000 0.000
Co 0.000 0.000 0.000
Sn 0.000 0.000 2.436
Rb 2.403 2.403 2.436
```

Computed properties:
formation energy = 960 meV per atom
space-group type = No. 123

The following is a DFT calculation (SCAN) of LuAlAu at its PBEsol-relaxed geometry.

The structure in extended XYZ format:
```
9
Lattice="-3.739 0.876 0.346 -1.388 -6.759 2.121 1.637 5.053 4.889" Properties=species:S:1:pos:R:3 pbc="T T T"
Lu -1.722 -0.569 4.311
Lu -2.438 -2.331 1.042
Lu -1.199 2.509 2.176
Au -1.869 0.438 0.173
Au -0.380 -2.822 3.044
Au 0.629 1.116 3.966
Al 0.062 -0.427 1.755
Al -1.040 -5.067 1.590
Al 1.227 3.788 3.665
```

Computed properties:
formation energy = -1064 meV per atom
space-group type = No. 189

The following is a DFT calculation (SCAN) of HgSbIr2 at its PBEsol-relaxed geometry.

The structure in extended XYZ format:
```
4
Lattice="-2.204 -0.906 1.777 2.370 -1.746 -0.411 4.137 3.936 7.139" Properties=species:S:1:pos:R:3 pbc="T T T"
Hg 0.083 -1.326 0.683
Ir 1.067 1.015 1.842
Ir 3.070 2.921 5.298
Sb 2.152 0.642 4.253
```

Computed properties:
ΔE_f (raw) = 0.67 eV per atom
excess energy over the best structure of this formula in the dataset = 0.252 eV/atom
space-group type = No. 65

The following is a DFT calculation (SCAN) of BaLaPb2 at its PBEsol-relaxed geometry.

The structure in extended XYZ format:
```
4
Lattice="3.673 0.000 0.000 0.000 6.056 -0.040 0.000 -1.316 5.911" Properties=species:S:1:pos:R:3 pbc="T T T"
Pb 0.000 3.028 -0.020
Pb 0.000 -0.658 2.956
Ba 1.836 0.000 0.000
La 1.836 2.370 2.936
```

Computed properties:
formation energy = -733 meV per atom
space-group type = No. 65

The following is a DFT calculation (SCAN) of CaFeIr2 at its PBEsol-relaxed geometry.

The structure in extended XYZ format:
```
4
Lattice="-1.344 1.114 2.140 1.383 -3.218 2.544 4.975 2.267 0.164" Properties=species:S:1:pos:R:3 pbc="T T T"
Ca 3.074 3.015 2.144
Ir 1.646 1.080 0.472
Ir 0.893 -0.479 2.592
Fe 3.289 0.096 2.016
```

Computed properties:
formation energy = 106 meV per atom
excess energy over the best structure of this formula in the dataset = 0.030 eV/atom
space-group type = No. 38

The following is a DFT calculation (SCAN) of ZnIn2Ag at its PBEsol-relaxed geometry.

The structure in extended XYZ format:
```
4
Lattice="3.704 0.000 0.000 0.000 4.309 0.000 -1.852 0.000 5.043" Properties=species:S:1:pos:R:3 pbc="T T T"
Zn 1.852 0.000 2.035
Ag 1.852 2.155 0.486
In 1.852 0.000 4.767
In 0.000 2.155 2.743
```

Computed properties:
formation energy = 46 meV per atom
space-group type = No. 38

The following is a DFT calculation (SCAN) of RhPbF2 at its PBEsol-relaxed geometry.

The structure in extended XYZ format:
```
4
Lattice="3.241 0.000 0.000 1.620 2.806 0.000 1.620 0.935 7.644" Properties=species:S:1:pos:R:3 pbc="T T T"
Pb 0.000 0.000 0.000
Rh 3.241 1.871 3.822
F 4.861 2.806 2.453
F 1.620 0.935 5.190
```

Computed properties:
ΔE_f (raw) = -0.96 eV per atom
space-group type = No. 166

The following is a DFT calculation (SCAN) of PtBr3 at its PBEsol-relaxed geometry.

The structure in extended XYZ format:
```
4
Lattice="-1.604 -1.961 -1.854 2.404 -0.058 -2.018 3.856 -7.707 4.815" Properties=species:S:1:pos:R:3 pbc="T T T"
Br 2.586 -5.168 3.229
Br 0.400 -1.009 -1.936
Br 1.270 -2.539 1.586
Pt 2.328 -4.863 0.471
```

Computed properties:
ΔE_f (raw) = 0.64 eV per atom
space-group type = No. 123

The following is a DFT calculation (SCAN) of Fe2NiP2O8 at its PBEsol-relaxed geometry.

The structure in extended XYZ format:
```
26
Lattice="4.772 0.000 0.000 0.000 5.907 0.003 0.000 -0.116 10.065" Properties=species:S:1:pos:R:3 pbc="T T T"
Fe 2.326 1.364 5.281
Fe 4.712 4.427 4.787
Fe 2.387 2.945 2.543
Fe 0.001 2.846 7.525
Ni 2.436 4.356 9.828
Ni 0.050 1.435 0.239
P 0.341 4.400 1.508
P 2.727 1.391 8.560
P 4.430 1.456 3.464
P 2.044 4.335 6.603
O 3.574 4.302 1.495
O 1.188 1.489 8.573
O 1.192 1.527 3.513
O 3.578 4.264 6.555
O 0.904 5.599 0.730
O 3.289 0.192 9.337
O 3.861 0.274 4.287
O 1.475 5.517 5.781
O 1.073 3.142 0.856
O 3.459 2.649 9.211
O 3.758 2.701 4.196
O 1.372 3.090 5.871
O 1.473 4.280 8.033
O 3.859 1.511 2.034
O 3.262 1.439 7.091
O 0.876 4.352 2.976
```

Computed properties:
ΔE_f (raw) = -2.01 eV per atom
space-group type = No. 4

The following is a DFT calculation (SCAN) of Li2VO2F3 at its PBEsol-relaxed geometry.

The structure in extended XYZ format:
```
32
Lattice="-2.979 -4.304 0.440 5.672 -4.029 -1.010 1.559 -0.130 9.278" Properties=species:S:1:pos:R:3 pbc="T T T"
Li 2.684 -3.292 1.647
Li 0.146 -4.847 0.606
Li 0.719 -1.555 5.327
Li 4.326 -7.179 6.088
Li -0.074 -1.284 2.621
Li 3.534 -6.908 3.381
Li 4.106 -3.616 8.102
Li 1.569 -5.171 7.061
V 0.099 -4.450 4.170
V 1.926 -2.049 8.668
V 2.326 -6.414 0.041
V 4.153 -4.013 4.538
O 3.422 -1.582 8.135
O 1.975 -3.673 8.349
O -0.044 -2.819 3.929
O -1.490 -4.909 4.143
O 5.743 -3.554 4.565
O 4.296 -5.644 4.779
O 2.277 -4.790 0.359
O 0.830 -6.881 0.573
F 2.126 -4.231 4.354
F 3.616 -2.080 4.134
F 0.491 -4.899 2.430
F 0.951 -2.135 1.223
F 0.148 -4.286 6.099
F 0.990 -1.555 7.164
F -1.489 -2.152 0.220
F 0.000 0.000 0.000
F 3.263 -6.908 1.544
F 4.104 -4.176 2.610
F 3.302 -6.327 7.485
F 3.762 -3.564 6.278
```

Computed properties:
ΔE_f (raw) = -2.81 eV per atom
space-group type = No. 62

The following is a DFT calculation (SCAN) of K2LaTa5O15 at its PBEsol-relaxed geometry.

The structure in extended XYZ format:
```
46
Lattice="3.920 0.000 0.000 0.000 12.597 0.000 0.000 0.000 12.597" Properties=species:S:1:pos:R:3 pbc="T T T"
K 0.000 8.427 2.128
K 0.000 4.170 10.469
K 0.000 2.128 4.170
K 0.000 10.469 8.427
La 0.000 6.299 6.299
La 0.000 0.000 0.000
Ta 1.960 6.299 0.000
Ta 1.960 0.000 6.299
Ta 1.960 7.268 8.987
Ta 1.960 5.330 3.610
Ta 1.960 0.969 9.909
Ta 1.960 11.628 2.689
Ta 1.960 3.610 7.268
Ta 1.960 8.987 5.330
Ta 1.960 2.689 0.969
Ta 1.960 9.909 11.628
O 0.000 6.299 0.000
O 0.000 0.000 6.299
O 1.960 9.868 3.569
O 1.960 2.729 9.028
O 1.960 3.569 2.729
O 1.960 9.028 9.868
O 0.000 7.281 8.730
O 0.000 5.317 3.867
O 0.000 0.982 10.166
O 0.000 11.615 2.431
O 0.000 3.867 7.281
O 0.000 8.730 5.317
O 0.000 2.431 0.982
O 0.000 10.166 11.615
O 1.960 10.616 6.318
O 1.960 1.982 6.279
O 1.960 4.317 12.578
O 1.960 8.280 0.020
O 1.960 6.279 10.616
O 1.960 6.318 1.982
O 1.960 0.020 4.317
O 1.960 12.578 8.280
O 1.960 7.972 7.067
O 1.960 4.625 5.531
O 1.960 1.674 11.829
O 1.960 10.924 0.768
O 1.960 5.531 7.972
O 1.960 7.067 4.625
O 1.960 0.768 1.674
O 1.960 11.829 10.924
```

Computed properties:
ΔE_f (raw) = -3.15 eV per atom
space-group type = No. 127

The following is a DFT calculation (SCAN) of KBaZn2 at its PBEsol-relaxed geometry.

The structure in extended XYZ format:
```
4
Lattice="-5.081 2.215 -0.937 -3.554 0.794 4.283 -1.162 5.211 1.759" Properties=species:S:1:pos:R:3 pbc="T T T"
K 0.000 0.000 0.000
Zn -2.449 2.055 1.276
Zn -7.347 6.166 3.828
Ba -4.898 4.111 2.552
```

Computed properties:
formation energy = 60 meV per atom
space-group type = No. 225

The following is a DFT calculation (SCAN) of Ge2CI at its PBEsol-relaxed geometry.

The structure in extended XYZ format:
```
4
Lattice="-3.389 1.656 -2.848 -4.532 -1.003 0.888 -2.917 3.393 1.522" Properties=species:S:1:pos:R:3 pbc="T T T"
I -5.419 2.023 -0.219
Ge -2.709 1.011 -0.109
Ge -8.128 3.034 -0.328
C 0.000 0.000 0.000
```

Computed properties:
ΔE_f (raw) = 1.93 eV per atom
space-group type = No. 225

The following is a DFT calculation (SCAN) of Zr2IrRh at its PBEsol-relaxed geometry.

The structure in extended XYZ format:
```
4
Lattice="3.805 0.000 0.000 1.903 3.296 0.000 1.903 1.099 6.051" Properties=species:S:1:pos:R:3 pbc="T T T"
Ir 3.805 2.197 3.026
Rh 0.000 0.000 0.000
Zr 1.903 1.099 1.522
Zr 5.708 3.296 4.530
```

Computed properties:
formation energy = -658 meV per atom
space-group type = No. 166

The following is a DFT calculation (SCAN) of CaCd2W at its PBEsol-relaxed geometry.

The structure in extended XYZ format:
```
4
Lattice="-3.212 -2.299 1.431 -0.328 -1.874 -3.745 4.698 -1.154 2.523" Properties=species:S:1:pos:R:3 pbc="T T T"
Ca 1.300 -2.558 -1.190
W -1.770 -2.086 -1.157
Cd 0.000 0.000 0.000
Cd -0.142 -2.770 1.398
```

Computed properties:
formation energy = 728 meV per atom
excess energy over the best structure of this formula in the dataset = 0.317 eV/atom
space-group type = No. 119

The following is a DFT calculation (SCAN) of La3Se at its PBEsol-relaxed geometry.

The structure in extended XYZ format:
```
4
Lattice="3.679 0.000 0.000 0.000 3.679 0.000 0.000 0.000 8.713" Properties=species:S:1:pos:R:3 pbc="T T T"
La 0.000 0.000 6.916
La 1.840 1.840 4.356
La 0.000 0.000 1.797
Se 1.840 1.840 0.000
```

Computed properties:
ΔE_f (raw) = -0.87 eV per atom
space-group type = No. 123